VAg3: relaxed, PBE.

```
VAg3
1.0
2.773 0.000 0.000
0.000 2.719 0.000
0.000 0.000 9.303
V Ag
1 3
Cartesian
0.000 0.000 9.001
0.000 1.359 4.314
1.387 0.000 6.600
1.387 1.359 1.791
```

Values from the calculation:
ρ = 8868 kg/m³
formation energy from the elements = 407.6 meV per atom
density of states at the Fermi level = 3.5 states/eV/f.u.
E_tot = -16.0 eV per cell
SG = Pmm2 (25)